(1)
A plane-wave DFT calculation with GGA-PBE was carried out for a relaxed PtCSe3 crystal.

Results
Density (g/cm³): 5.94
Crystal system: cubic
Total moment (μB/atom): 0.182
Formation energy (no corrections) (eV per atom): 1.806
Symmetry: Pm-3m, No. 221

Structure (CIF):
```
data_PtCSe3
_cell_length_a 4.9894
_cell_length_b 4.9894
_cell_length_c 4.9894
_cell_angle_alpha 90.00
_cell_angle_beta 90.00
_cell_angle_gamma 90.00
_symmetry_space_group_name_H-M 'P 1'
_symmetry_Int_Tables_number 1
loop_
_symmetry_equiv_pos_as_xyz
'x,y,z'
loop_
_atom_site_label
_atom_site_fract_x
_atom_site_fract_y
_atom_site_fract_z
Pt1 0.0000 0.0000 0.0000
C1 0.5000 0.5000 0.5000
Se1 0.0000 0.0000 0.5000
Se2 0.0000 0.5000 0.0000
Se3 0.5000 0.0000 0.0000
```


(2)
A plane-wave DFT calculation with GGA-PBE was carried out for a relaxed K3Rb2Na4Hg2 crystal.

Results
VASP energy (eV/atom): -1.05
Density (g/cm³): 2.33
Crystal system: tetragonal
Total moment (μB/atom): 0.000
Symmetry: I4/mmm, No. 139

Structure (CIF):
```
data_K3Rb2Na4Hg2
_cell_length_a 15.2763
_cell_length_b 15.2763
_cell_length_c 15.2763
_cell_angle_alpha 156.70
_cell_angle_beta 156.70
_cell_angle_gamma 33.19
_symmetry_space_group_name_H-M 'P 1'
_symmetry_Int_Tables_number 1
loop_
_symmetry_equiv_pos_as_xyz
'x,y,z'
loop_
_atom_site_label
_atom_site_fract_x
_atom_site_fract_y
_atom_site_fract_z
K1 0.0000 0.0000 0.0000
K2 0.1674 0.1674 0.0000
K3 0.8326 0.8326 0.0000
Rb1 0.3195 0.3195 0.0000
Rb2 0.6805 0.6805 0.0000
Na1 0.0771 0.5771 0.5000
Na2 0.4229 0.9229 0.5000
Na3 0.5771 0.0771 0.5000
Na4 0.9229 0.4229 0.5000
Hg1 0.4487 0.4487 0.0000
Hg2 0.5513 0.5513 0.0000
```


(3)
A plane-wave DFT calculation with GGA-PBE was carried out for a relaxed Al2TcMo crystal.

Results
VASP energy (eV/atom): -7.25
Density (g/cm³): 6.85
Crystal system: orthorhombic
Total moment (μB/atom): 0.000
Symmetry: Cmmm, No. 65

Structure (CIF):
```
data_Al2TcMo
_cell_length_a 4.8739
_cell_length_b 4.8739
_cell_length_c 2.7594
_cell_angle_alpha 90.00
_cell_angle_beta 90.00
_cell_angle_gamma 113.62
_symmetry_space_group_name_H-M 'P 1'
_symmetry_Int_Tables_number 1
loop_
_symmetry_equiv_pos_as_xyz
'x,y,z'
loop_
_atom_site_label
_atom_site_fract_x
_atom_site_fract_y
_atom_site_fract_z
Al1 0.0000 0.5000 0.0000
Al2 0.5000 0.0000 0.0000
Tc1 0.0000 0.0000 0.5000
Mo1 0.5000 0.5000 0.5000
```


(4)
A plane-wave DFT calculation with GGA-PBE was carried out for a relaxed Th3ZrO crystal.

Results
Density (g/cm³): 10.61
Crystal system: cubic
Total moment (μB/atom): 0.000
Formation energy (no corrections) (eV per atom): -1.032
Symmetry: Pm-3m, No. 221

Structure (CIF):
```
data_Th3ZrO
_cell_length_a 5.0103
_cell_length_b 5.0103
_cell_length_c 5.0103
_cell_angle_alpha 90.00
_cell_angle_beta 90.00
_cell_angle_gamma 90.00
_symmetry_space_group_name_H-M 'P 1'
_symmetry_Int_Tables_number 1
loop_
_symmetry_equiv_pos_as_xyz
'x,y,z'
loop_
_atom_site_label
_atom_site_fract_x
_atom_site_fract_y
_atom_site_fract_z
Th1 0.0000 0.0000 0.5000
Th2 0.0000 0.5000 0.0000
Th3 0.5000 0.0000 0.0000
Zr1 0.5000 0.5000 0.5000
O1 0.0000 0.0000 0.0000
```


(5)
A plane-wave DFT calculation with GGA-PBE was carried out for a relaxed Ca2CN2 crystal.

Results
Density (g/cm³): 2.82
Crystal system: tetragonal
Total moment (μB/atom): 0.000
Formation energy (no corrections) (eV per atom): 1.166
Symmetry: P4/mbm, No. 127

Structure (CIF):
```
data_Ca2CN2
_cell_length_a 6.7869
_cell_length_b 6.7869
_cell_length_c 3.0727
_cell_angle_alpha 90.00
_cell_angle_beta 90.00
_cell_angle_gamma 90.00
_symmetry_space_group_name_H-M 'P 1'
_symmetry_Int_Tables_number 1
loop_
_symmetry_equiv_pos_as_xyz
'x,y,z'
loop_
_atom_site_label
_atom_site_fract_x
_atom_site_fract_y
_atom_site_fract_z
Ca1 0.1489 0.3511 0.0000
Ca2 0.3511 0.8511 0.0000
Ca3 0.6489 0.1489 0.0000
Ca4 0.8511 0.6489 0.0000
C1 0.0000 0.0000 0.0000
C2 0.5000 0.5000 0.0000
N1 0.1630 0.6630 0.5000
N2 0.3370 0.1630 0.5000
N3 0.6630 0.8370 0.5000
N4 0.8370 0.3370 0.5000
```


(6)
A plane-wave DFT calculation with GGA-PBE was carried out for a relaxed CsTiBr2 crystal.

Results
Density (g/cm³): 3.69
Crystal system: trigonal
Total moment (μB/atom): 0.670
Formation energy (no corrections) (eV per atom): -0.680
Symmetry: R-3m, No. 166

Structure (CIF):
```
data_CsTiBr2
_cell_length_a 10.1206
_cell_length_b 10.1206
_cell_length_c 10.1206
_cell_angle_alpha 24.21
_cell_angle_beta 24.21
_cell_angle_gamma 24.21
_symmetry_space_group_name_H-M 'P 1'
_symmetry_Int_Tables_number 1
loop_
_symmetry_equiv_pos_as_xyz
'x,y,z'
loop_
_atom_site_label
_atom_site_fract_x
_atom_site_fract_y
_atom_site_fract_z
Cs1 0.0000 0.0000 0.0000
Ti1 0.5000 0.5000 0.5000
Br1 0.1205 0.1205 0.1205
Br2 0.8795 0.8795 0.8795
```